# CaCu2SiH | the Alexandria database | PBE-GGA | relaxed
# **Energy above the most stable polymorph in this dataset**: 462 meV/atom
# **Total magnetic moment**: 0.0 μB/f.u.
data_CaCu2SiH
_chemical_formula_sum 'Ca1 Cu2 Si1 H1'
_space_group_name_H-M_alt 'P 4/m m m'
_space_group_IT_number 123
_space_group_name_Hall '-P 4 2'
_cell_length_a 4.059
_cell_length_b 4.059
_cell_length_c 4.272
_cell_angle_alpha 90.00
_cell_angle_beta 90.00
_cell_angle_gamma 90.00
loop_
_atom_site_label
_atom_site_type_symbol
_atom_site_fract_x
_atom_site_fract_y
_atom_site_fract_z
Ca1 Ca 0.000 0.000 0.000
Cu1 Cu 0.000 0.500 0.500
Si1 Si 0.500 0.500 0.000
H1 H 0.000 0.000 0.500